This record from Alexandria via LeMat-Bulk describes LaFeCo2 after structural relaxation. The functional is PBE-GGA.

E_tot: -6.708 eV per atom
Total magnetization: 5.22 μB/f.u.
D(E_F): 5.544 states/eV per cell
DFT formation energy: 0.1927 eV/atom

Cell and atoms, written as CIF:
```
data_LaFeCo2
_chemical_formula_sum 'La1 Fe1 Co2'
_cell_length_a 3.020
_cell_length_b 3.049
_cell_length_c 6.896
_cell_angle_alpha 90.00
_cell_angle_beta 90.00
_cell_angle_gamma 90.00
_symmetry_space_group_name_H-M 'P m m m'
_symmetry_Int_Tables_number 47
_symmetry_space_group_name_Hall '-P 2 2'
loop_
_atom_site_label
_atom_site_type_symbol
_atom_site_fract_x
_atom_site_fract_y
_atom_site_fract_z
La1 La 0.000 0.000 0.000
Fe1 Fe 0.000 0.000 0.500
Co1 Co 0.500 0.500 0.319
```


This record from Alexandria via LeMat-Bulk describes TcOsC2O after structural relaxation. The functional is PBE-GGA.

Formation energy from raw total energies: 1.790 eV/atom
E_tot: -7.210 eV per atom
Total magnetization: 2.77 μB/f.u.
D(E_F): 4.377 states/eV per cell

Cell and atoms, written as CIF:
```
data_TcOsC2O
_chemical_formula_sum 'Tc1 Os1 C2 O1'
_cell_length_a 4.078
_cell_length_b 4.078
_cell_length_c 3.673
_cell_angle_alpha 90.00
_cell_angle_beta 90.00
_cell_angle_gamma 90.00
_symmetry_space_group_name_H-M 'P 4/m m m'
_symmetry_Int_Tables_number 123
_symmetry_space_group_name_Hall '-P 4 2'
loop_
_atom_site_label
_atom_site_type_symbol
_atom_site_fract_x
_atom_site_fract_y
_atom_site_fract_z
Tc1 Tc 0.000 0.000 0.000
Os1 Os 0.500 0.500 0.500
C1 C 0.000 0.500 0.000
O1 O 0.000 0.000 0.500
```